No. 1
Compound: CoGeAs
Source: Alexandria via LeMat-Bulk
Functional: GGA-PBE
Structure: relaxed

Lattice parameters (Å, degrees): 5.9308 6.1578 7.9252 73.95 89.80 89.58
Space group P-1 (No. 2)
Asymmetric unit:
Co: 0.0000 0.0000 0.0000 x1
Co: 0.0035 0.3327 0.6539 x2
Co: 0.4974 0.1657 0.3231 x2
Co: 0.5000 0.5000 0.0000 x1
Ge: 0.1336 0.6199 0.0656 x2
Ge: 0.3650 0.7852 0.4020 x2
Ge: 0.3660 0.4572 0.7242 x2
As: 0.1371 0.2910 0.3868 x2
As: 0.1380 0.9543 0.7309 x2
As: 0.3641 0.1220 0.0576 x2

Output
ΔH_f (0 K): -0.19 eV/atom

---

No. 2
Compound: NbSnPtAu2
Source: Alexandria via LeMat-Bulk
Functional: GGA-PBE
Structure: relaxed

Lattice parameters (Å, degrees): 4.9443 4.9443 5.2591 90.00 90.00 90.00
Space group P4/mmm (No. 123)
Asymmetric unit:
Nb: 0.0000 0.0000 0.0000 x1
Sn: 0.0000 0.0000 0.5000 x1
Pt: 0.5000 0.5000 0.0000 x1
Au: 0.0000 0.5000 0.5000 x2

Output
ΔH_f (0 K): 1.30 eV/atom

---

No. 3
Compound: Ti5Nb12Ga3
Source: Alexandria via LeMat-Bulk
Functional: GGA-PBE
Structure: relaxed

Lattice parameters (Å, degrees): 15.3452 15.3452 15.3452 90.00 90.00 90.00
Space group Ia-3d (No. 230)
Asymmetric unit:
Ti: 0.0000 0.0000 0.0000 x16
Ti: 0.0000 0.2500 0.3750 x24
Nb: 0.0060 0.0791 0.6487 x96
Ga: 0.0000 0.2500 0.1250 x24

Output
ΔH_f (0 K): 1.15 eV/atom

---

No. 4
Compound: BMoRu3
Source: Alexandria via LeMat-Bulk
Functional: GGA-PBE
Structure: relaxed

Lattice parameters (Å, degrees): 4.6438 4.6438 4.6438 90.00 90.00 90.00
Space group Pm-3m (No. 221)
Asymmetric unit:
B: 0.0000 0.0000 0.0000 x1
Mo: 0.5000 0.5000 0.5000 x1
Ru: 0.0000 0.5000 0.5000 x3

Output
ΔH_f (0 K): 2.47 eV/atom

---

No. 5
Compound: BaInSn2
Source: Alexandria via LeMat-Bulk
Functional: GGA-PBE
Structure: relaxed

Lattice parameters (Å, degrees): 7.8021 5.4380 12.7771 90.00 90.00 90.00
Space group Pnma (No. 62)
Asymmetric unit:
Ba: 0.1548 0.2500 0.1489 x4
In: 0.1577 0.2500 0.4263 x4
Sn: 0.0289 0.2500 0.6498 x4
Sn: 0.1535 0.2500 0.8683 x4

Output
ΔH_f (0 K): -0.41 eV/atom

---

No. 6
Compound: VRePW2
Source: Alexandria via LeMat-Bulk
Functional: GGA-PBE
Structure: relaxed

Lattice parameters (Å, degrees): 4.5835 4.5835 4.1366 90.00 90.00 90.00
Space group P4/mmm (No. 123)
Asymmetric unit:
V: 0.0000 0.0000 0.0000 x1
Re: 0.5000 0.5000 0.5000 x1
P: 0.0000 0.0000 0.5000 x1
W: 0.0000 0.5000 0.0000 x2

Output
ΔH_f (0 K): 1.68 eV/atom